Entry from Alexandria via LeMat-Bulk: a relaxed structure of La4PmY5 (PBE).

Values from the calculation:
Crystal system: tetragonal
E above lowest polymorph: 0 meV per atom
ΔH_f (0 K): 16.73 kJ per mole of atoms

Cell: 10.763 10.763 5.943 Å, 90.00 90.00 90.00°
Space group P4/nmm (No. 129, origin choice 2)
Unique sites:
1 La 0.045 0.750 0.127 x8
2 Pm 0.250 0.250 0.887 x2
3 Y 0.089 0.089 0.345 x8
4 Y 0.250 0.750 0.500 x2

***

Entry from Alexandria via LeMat-Bulk: a relaxed structure of Pm7DySc2 (PBE).

Values from the calculation:
Crystal system: triclinic
E above lowest polymorph: 0 meV per atom
ΔH_f (0 K): 5.55 kJ per mole of atoms

Cell: 3.527 8.588 11.464 Å, 108.76 90.05 101.85°
Space group P-1 (No. 2)
Unique sites:
1 Pm 0.000 0.000 0.000 x1
2 Pm 0.107 0.216 0.303 x2
3 Pm 0.288 0.574 0.875 x2
4 Pm 0.412 0.825 0.211 x2
5 Dy 0.000 0.000 0.500 x1
6 Sc 0.308 0.617 0.427 x2

***

Entry from Alexandria via LeMat-Bulk: a relaxed structure of TbEuAu (PBE).

Values from the calculation:
Crystal system: trigonal
E above lowest polymorph: 149 meV per atom
ΔH_f (0 K): -36.76 kJ per mole of atoms

Cell: 4.9606 4.9606 4.1390 Å, 90.00 90.00 120.00°
Space group P3m1 (No. 156)
Unique sites:
1 Tb 0.0000 0.0000 0.0000 x1
2 Eu 0.3333 0.6667 0.4795 x1
3 Au 0.6667 0.3333 0.8701 x1

***

Entry from Alexandria via LeMat-Bulk: a relaxed structure of CaPr4Mg (PBE).

Values from the calculation:
Crystal system: tetragonal
ΔH_f (0 K): -1.48 kJ per mole of atoms

Cell: 3.751 3.751 14.949 Å, 90.00 90.00 90.00°
Space group P4/mmm (No. 123)
Unique sites:
1 Ca 0.000 0.000 0.000 x1
2 Pr 0.000 0.000 0.353 x2
3 Pr 0.500 0.500 0.186 x2
4 Mg 0.500 0.500 0.500 x1

***

Entry from Alexandria via LeMat-Bulk: a relaxed structure of KMgAsIr2 (PBE).

Values from the calculation:
Crystal system: tetragonal
ΔH_f (0 K): 224.09 kJ per mole of atoms

Cell: 4.811 4.811 4.790 Å, 90.00 90.00 90.00°
Space group P4/mmm (No. 123)
Unique sites:
1 K 0.000 0.000 0.000 x1
2 Mg 0.000 0.000 0.500 x1
3 As 0.500 0.500 0.500 x1
4 Ir 0.000 0.500 0.000 x2

***

Entry from Alexandria via LeMat-Bulk: a relaxed structure of GdZn4Au (PBE).

Values from the calculation:
Crystal system: cubic
ΔH_f (0 K): -22.57 kJ per mole of atoms

Cell: 7.538 7.538 7.538 Å, 90.00 90.00 90.00°
Space group F-43m (No. 216)
Unique sites:
1 Gd 0.000 0.000 0.000 x4
2 Zn 0.125 0.125 0.625 x16
3 Au 0.250 0.250 0.250 x4

***

Entry from Alexandria via LeMat-Bulk: a relaxed structure of TbP2RuRh (PBE).

Values from the calculation:
Crystal system: tetragonal
ΔH_f (0 K): -102.03 kJ per mole of atoms

Cell: 4.006 4.006 9.777 Å, 90.00 90.00 90.00°
Space group I-4m2 (No. 119)
Unique sites:
1 Tb 0.000 0.000 0.000 x2
2 P 0.000 0.000 0.382 x4
3 Ru 0.000 0.500 0.750 x2
4 Rh 0.000 0.500 0.250 x2

***

Entry from Alexandria via LeMat-Bulk: a relaxed structure of Y7Cd2Ag2 (PBE).

Values from the calculation:
Crystal system: orthorhombic
ΔH_f (0 K): 1.52 kJ per mole of atoms

Cell: 7.905 11.214 7.481 Å, 90.00 90.00 90.00°
Space group Cmmm (No. 65)
Unique sites:
1 Y 0.000 0.000 0.000 x2
2 Y 0.000 0.500 0.257 x4
3 Y 0.250 0.250 0.274 x8
4 Cd 0.174 0.000 0.500 x4
5 Ag 0.000 0.295 0.000 x4

***

Entry from Alexandria via LeMat-Bulk: a relaxed structure of AcNdY6Tm2 (PBE).

Values from the calculation:
Crystal system: monoclinic
ΔH_f (0 K): 12.35 kJ per mole of atoms

Cell: 9.331 15.216 9.591 Å, 90.00 95.23 90.00°
Space group C2/c (No. 15)
Unique sites:
1 Ac 0.000 0.033 0.250 x4
2 Nd 0.000 0.412 0.750 x4
3 Y 0.063 0.183 0.943 x8
4 Y 0.097 0.388 0.113 x8
5 Y 0.216 0.230 0.322 x8
6 Tm 0.246 0.445 0.449 x8

***

Entry from Alexandria via LeMat-Bulk: a relaxed structure of TlRu3S (PBE).

Values from the calculation:
Crystal system: cubic
E above lowest polymorph: 2017 meV per atom
Uncorrected formation energy: 236.75 kJ/mol of atoms

Cell: 5.033 5.033 5.033 Å, 90.00 90.00 90.00°
Space group Pm-3m (No. 221)
Unique sites:
1 Tl 0.000 0.000 0.000 x1
2 Ru 0.000 0.000 0.500 x3
3 S 0.500 0.500 0.500 x1

***

Entry from Alexandria via LeMat-Bulk: a relaxed structure of Pm3Ge4Ru4 (PBE).

Values from the calculation:
Crystal system: orthorhombic
ΔH_f (0 K): -47.31 kJ per mole of atoms

Cell: 4.317 4.392 23.808 Å, 90.00 90.00 90.00°
Space group Immm (No. 71)
Unique sites:
1 Pm 0.000 0.000 0.000 x2
2 Pm 0.000 0.500 0.354 x4
3 Ge 0.000 0.000 0.248 x4
4 Ge 0.000 0.500 0.098 x4
5 Ru 0.000 0.000 0.451 x4
6 Ru 0.000 0.500 0.199 x4

***

Entry from Alexandria via LeMat-Bulk: a relaxed structure of OsRh2 (PBE).

Values from the calculation:
Crystal system: tetragonal
E above lowest polymorph: 47 meV per atom
ΔH_f (0 K): 6.09 kJ per mole of atoms

Cell: 3.854 3.854 22.968 Å, 90.00 90.00 90.00°
Space group I4_1/amd (No. 141, origin choice 2)
Unique sites:
1 Os 0.000 0.250 0.289 x8
2 Rh 0.000 0.250 0.123 x8
3 Rh 0.000 0.250 0.791 x8

***

Entry from Alexandria via LeMat-Bulk: a relaxed structure of HfZnCl6 (PBE).

Values from the calculation:
Crystal system: monoclinic
E above lowest polymorph: 0 meV per atom
Uncorrected formation energy: -146.78 kJ/mol of atoms

Cell: 6.889 11.998 6.196 Å, 90.00 90.63 90.00°
Space group C2/m (No. 12)
Unique sites:
1 Hf 0.000 0.000 0.000 x2
2 Zn 0.000 0.000 0.500 x2
3 Cl 0.141 0.140 0.247 x8
4 Cl 0.218 0.500 0.242 x4

***

Entry from Alexandria via LeMat-Bulk: a relaxed structure of ErPuThSn (PBE).

Values from the calculation:
Crystal system: cubic
ΔH_f (0 K): -7.82 kJ per mole of atoms

Cell: 7.588 7.588 7.588 Å, 90.00 90.00 90.00°
Space group F-43m (No. 216)
Unique sites:
1 Er 0.000 0.000 0.000 x4
2 Pu 0.000 0.000 0.500 x4
3 Th 0.250 0.250 0.750 x4
4 Sn 0.250 0.250 0.250 x4

***

Entry from Alexandria via LeMat-Bulk: a relaxed structure of SrLa2CoAg (PBE).

Values from the calculation:
Crystal system: tetragonal
E above lowest polymorph: 30 meV per atom
ΔH_f (0 K): 0.00 kJ per mole of atoms

Cell: 5.211 5.211 5.539 Å, 90.00 90.00 90.00°
Space group P4/mmm (No. 123)
Unique sites:
1 Sr 0.000 0.000 0.000 x1
2 La 0.000 0.500 0.500 x2
3 Co 0.500 0.500 0.500 x1
4 Ag 0.500 0.500 0.000 x1

***

Entry from Alexandria via LeMat-Bulk: a relaxed structure of Ag2HgW (PBE).

Values from the calculation:
Crystal system: tetragonal
ΔH_f (0 K): 76.82 kJ per mole of atoms

Cell: 5.107 5.107 2.816 Å, 90.00 90.00 90.00°
Space group P4/mmm (No. 123)
Unique sites:
1 Ag 0.000 0.500 0.000 x2
2 Hg 0.000 0.000 0.500 x1
3 W 0.500 0.500 0.500 x1

***

Entry from Alexandria via LeMat-Bulk: a relaxed structure of SiHg2Os (PBE).

Values from the calculation:
Crystal system: tetragonal
Uncorrected formation energy: 94.91 kJ/mol of atoms

Cell: 4.909 4.909 3.042 Å, 90.00 90.00 90.00°
Space group P4/mmm (No. 123)
Unique sites:
1 Si 0.000 0.000 0.000 x1
2 Hg 0.000 0.500 0.500 x2
3 Os 0.500 0.500 0.000 x1

***

Entry from Alexandria via LeMat-Bulk: a relaxed structure of TmMg9Ag3 (PBE).

Values from the calculation:
Crystal system: monoclinic
ΔH_f (0 K): -12.41 kJ per mole of atoms

Cell: 5.595 14.109 7.584 Å, 90.00 111.25 90.00°
Space group C2/m (No. 12)
Unique sites:
1 Tm 0.000 0.000 0.000 x2
2 Mg 0.000 0.000 0.500 x2
3 Mg 0.097 0.393 0.208 x8
4 Mg 0.172 0.176 0.339 x8
5 Ag 0.000 0.500 0.500 x2
6 Ag 0.250 0.250 0.000 x4

***

Entry from Alexandria via LeMat-Bulk: a relaxed structure of K13Ag2 (PBE).

Values from the calculation:
Crystal system: triclinic
ΔH_f (0 K): 2.74 kJ per mole of atoms

Cell: 8.124 10.453 12.478 Å, 65.67 84.40 82.81°
Space group P-1 (No. 2)
Unique sites:
1 K 0.000 0.000 0.000 x1
2 K 0.066 0.841 0.688 x2
3 K 0.165 0.681 0.388 x2
4 K 0.229 0.548 0.071 x2
5 K 0.308 0.387 0.774 x2
6 K 0.394 0.230 0.455 x2
7 K 0.455 0.076 0.153 x2
8 Ag 0.190 0.118 0.723 x2

***

Entry from Alexandria via LeMat-Bulk: a relaxed structure of Ce2DyP3 (PBE).

Values from the calculation:
Crystal system: orthorhombic
ΔH_f (0 K): -147.85 kJ per mole of atoms

Cell: 8.121 5.747 12.179 Å, 90.00 90.00 90.00°
Space group Pnma (No. 62)
Unique sites:
1 Ce 0.125 0.250 0.249 x4
2 Ce 0.126 0.250 0.917 x4
3 Dy 0.124 0.250 0.584 x4
4 P 0.123 0.750 0.583 x4
5 P 0.125 0.750 0.250 x4
6 P 0.127 0.750 0.918 x4

***

Entry from Alexandria via LeMat-Bulk: a relaxed structure of FeRh5 (PBE).

Values from the calculation:
Crystal system: cubic
ΔH_f (0 K): 41.34 kJ per mole of atoms

Cell: 7.147 7.147 7.147 Å, 90.00 90.00 90.00°
Space group F-43m (No. 216)
Unique sites:
1 Fe 0.000 0.000 0.000 x4
2 Rh 0.125 0.125 0.625 x16
3 Rh 0.250 0.250 0.250 x4

***

Entry from Alexandria via LeMat-Bulk: a relaxed structure of GaCuN2F (PBE).

Values from the calculation:
Crystal system: tetragonal
E above lowest polymorph: 0 meV per atom
Uncorrected formation energy: 64.18 kJ/mol of atoms

Cell: 3.902 3.902 3.907 Å, 90.00 90.00 90.00°
Space group P4/mmm (No. 123)
Unique sites:
1 Ga 0.000 0.000 0.000 x1
2 Cu 0.500 0.500 0.500 x1
3 N 0.000 0.500 0.000 x2
4 F 0.000 0.000 0.500 x1

***

Entry from Alexandria via LeMat-Bulk: a relaxed structure of YTa2Cl (PBE).

Values from the calculation:
Crystal system: monoclinic
E above lowest polymorph: 327 meV per atom
Uncorrected formation energy: 13.51 kJ/mol of atoms

Cell: 3.241 5.976 4.488 Å, 90.00 90.20 90.00°
Space group P2/m (No. 10)
Unique sites:
1 Y 0.000 0.000 0.000 x1
2 Ta 0.258 0.500 0.231 x2
3 Cl 0.500 0.000 0.500 x1

***

Entry from Alexandria via LeMat-Bulk: a relaxed structure of ErAgS2 (PBE).

Values from the calculation:
Crystal system: tetragonal
Uncorrected formation energy: -116.32 kJ/mol of atoms

Cell: 3.884 3.884 5.483 Å, 90.00 90.00 90.00°
Space group P4/mmm (No. 123)
Unique sites:
1 Er 0.000 0.000 0.000 x1
2 Ag 0.500 0.500 0.500 x1
3 S 0.000 0.000 0.500 x1
4 S 0.500 0.500 0.000 x1

***

Here are the calculated raw total energy numbers, same order: -5.505, -4.994, -6.442, -3.801, -2.690, -3.976, -7.473, -4.783, -5.532, -4.411, -6.838, -8.581, -4.310, -7.660, -4.299, -3.943, -3.330, -2.235, -1.303, -6.982, -7.108, -4.464, -7.864, -5.123 (eV per atom).
Here are the calculated Fermi-level density of states numbers, same order: 11.4, 13.9, 8.4, 7.7, 4.4, 5.2, 1.7, 13.2, 15.7, 8.6, 7.6, 2.9, 0.0, 11.1, 4.5, 3.9, 3.0, 5.7, 9.6, 9.1, 13.8, 3.1, 3.2, 1.7 (states/eV/f.u.).